DFT (PBE) results for a relaxed structure of Er2ScCu9.

Properties
Calculated volume = 15.4 Å³ per atom
VASP energy = -4.550 eV per atom
Crystal system = hexagonal
ΔE_f = -190 meV/atom
Relative energy among the computed polymorphs = 0.000 eV per atom

Cell: 5.0643 5.0643 16.6242 Å, 90.00 90.00 120.00°
With the nearest neighbours (Å) after each atom.
Space group P6_3/mmc (No. 194)
Symmetry-distinct sites (fractional):
Er 0.3333 0.6667 0.0439 [4 per cell]  12 Cu 2.89-3.20
Sc 0.3333 0.6667 0.2500 [2 per cell]  18 Cu 2.92-3.25
Cu 0.0000 0.0000 0.0000 [2 per cell]  6 Cu 2.58
Cu 0.0000 0.0000 0.2500 [2 per cell]  6 Cu 2.51
Cu 0.1674 0.3347 0.6277 [12 per cell]  7 Cu 2.50-2.58
Cu 0.3333 0.6667 0.7500 [2 per cell]  6 Cu 2.50

DFT (PBE) results for a relaxed structure of Na2CaAlS4.

Properties
Calculated volume = 23.8 Å³ per atom
E_form (uncorrected) = -1127 meV per atom
VASP energy = -4.239 eV per atom
Crystal system = tetragonal

Cell: 7.3338 7.3338 7.0929 Å, 90.00 90.00 90.00°
With the nearest neighbours (Å) after each atom.
Space group I-42m (No. 121)
Symmetry-distinct sites (fractional):
Na 0.0000 0.5000 0.2500 [4 per cell]  4 S 2.74
Ca 0.0000 0.0000 0.0000 [2 per cell]  4 S 2.85
Al 0.0000 0.0000 0.5000 [2 per cell]  4 S 2.27
S 0.1752 0.1752 0.6907 [8 per cell]  1 Al 2.27